1.
Material: Gd2Y3Al3
Method: DFT, PBE
State: optimized geometry

abc: 5.425 6.417 6.417
angles: 71.54 90.00 90.00
Atoms (fractional coordinates):
Al1 0.500 0.148 0.148
Al2 0.000 0.757 0.403
Al3 0.000 0.403 0.757
Gd1 0.000 0.282 0.282
Gd2 0.500 0.678 0.678
Y1 0.500 0.661 0.188
Y2 0.500 0.188 0.661
Y3 0.000 0.882 0.882

Values from the calculation:
offset from the most stable computed form: 1.04 eV/f.u.

2.
Material: LaIn3Ni
Method: DFT, PBE
State: optimized geometry

abc: 6.488 6.488 6.488
angles: 138.31 138.31 60.43
Atoms (fractional coordinates):
In1 0.403 0.403 0.000
In2 0.727 0.227 0.500
In3 0.227 0.727 0.500
La1 0.987 0.987 0.000
Ni1 0.625 0.625 0.000

3.
Material: RbP5Pt3
Method: DFT, PBE
State: optimized geometry

abc: 5.745 5.745 7.536
angles: 90.00 90.00 120.00
Last column: magnetic moment on the atom in μB.
Atoms (fractional coordinates):
P1 0.667 0.333 0.267  0.00
P2 0.333 0.667 0.267  0.01
P3 0.000 0.000 0.500  0.14
P4 0.667 0.333 0.733  0.01
P5 0.333 0.667 0.733  0.00
Pt1 0.500 0.000 0.500  0.00
Pt2 0.000 0.500 0.500  0.00
Pt3 0.500 0.500 0.500  -0.01
Rb1 0.000 0.000 0.000  0.00

no.,total DFT energy (no corrections) (eV/atom),M_tot (μB/f.u.)
1,-5.11,0.11
2,-4.15,0.01
3,-5.10,0.31